{
  "formula": "KMnP3O9",
  "functional": "GGA+U",
  "state": "relaxed",
  "energy_ev_per_atom": -7.16,
  "lattice_angstrom": [[-3.429, -1.564, 5.661], [4.200, -4.558, -2.800], [7.634, 3.586, 5.615]],
  "species": ["K", "K", "Mn", "Mn", "P", "P", "P", "P", "P", "P", "O", "O", "O", "O", "O", "O", "O", "O", "O", "O", "O", "O", "O", "O", "O", "O", "O", "O"],
  "frac_coords": [[0.000, 0.000, 0.000], [0.000, 0.000, 0.500], [0.667, 0.333, 0.000], [0.667, 0.333, 0.500], [0.385, 0.441, 0.250], [0.559, 0.944, 0.250], [0.385, 0.944, 0.750], [0.056, 0.615, 0.250], [0.559, 0.615, 0.750], [0.056, 0.441, 0.750], [0.936, 0.599, 0.123], [0.401, 0.338, 0.123], [0.936, 0.599, 0.377], [0.936, 0.338, 0.623], [0.662, 0.064, 0.123], [0.401, 0.338, 0.377], [0.401, 0.064, 0.623], [0.936, 0.338, 0.877], [0.662, 0.064, 0.377], [0.401, 0.064, 0.877], [0.662, 0.599, 0.623], [0.662, 0.599, 0.877], [0.143, 0.433, 0.250], [0.567, 0.710, 0.250], [0.143, 0.710, 0.750], [0.290, 0.857, 0.250], [0.567, 0.857, 0.750], [0.290, 0.433, 0.750]]
}